Record 1
The following is a DFT calculation (PBEsol) of an optimized crystal structure of CoTc2Hg.

Lattice parameters (Å, degrees): 2.699 2.699 7.832 90.00 90.00 90.00
Sites, in units of the cell vectors:
Co (0.000, 0.000, 0.000)
Tc (0.500, 0.500, 0.214)
Tc (0.500, 0.500, 0.786)
Hg (0.000, 0.000, 0.500)

## Properties
ΔE_f ... 0.39 eV/atom
N(E_F) ... 4.09 states/eV/f.u.

---

Record 2
The following is a DFT calculation (PBEsol) of an optimized crystal structure of Zn2ReCl.

Lattice parameters (Å, degrees): 2.849 2.849 7.973 90.00 90.00 109.04
Sites, in units of the cell vectors:
Zn (0.000, 0.000, 0.244)
Zn (0.000, 0.000, 0.756)
Re (0.500, 0.500, 0.000)
Cl (0.500, 0.500, 0.500)

## Properties
Formation energy from raw total energies ... 0.25 eV/atom
E above lowest polymorph ... 9.3 kJ per mole of atoms
N(E_F) ... 1.50 states/eV/f.u.

---

Record 3
The following is a DFT calculation (PBEsol) of an optimized crystal structure of LiNiP4O12.

Lattice parameters (Å, degrees): 9.022 9.290 10.135 90.00 90.00 90.00
Sites, in units of the cell vectors:
Li (0.151, 0.247, 0.330)
Li (0.349, 0.753, 0.830)
Li (0.651, 0.253, 0.670)
Li (0.849, 0.747, 0.170)
Ni (0.004, 0.735, 0.793)
Ni (0.496, 0.265, 0.293)
Ni (0.504, 0.765, 0.207)
Ni (0.996, 0.235, 0.707)
P (0.001, 0.515, 0.518)
P (0.003, 0.938, 0.385)
P (0.195, 0.953, 0.613)
P (0.203, 0.463, 0.893)
P (0.297, 0.537, 0.393)
P (0.305, 0.047, 0.113)
P (0.497, 0.062, 0.885)
P (0.499, 0.485, 0.018)
P (0.501, 0.985, 0.482)
P (0.503, 0.562, 0.615)
P (0.695, 0.547, 0.387)
P (0.703, 0.037, 0.107)
P (0.797, 0.963, 0.607)
P (0.805, 0.453, 0.887)
P (0.997, 0.438, 0.115)
P (0.999, 0.015, 0.982)
O (0.004, 0.341, 0.230)
O (0.008, 0.617, 0.632)
O (0.009, 0.356, 0.547)
O (0.032, 0.094, 0.369)
O (0.120, 0.873, 0.490)
O (0.123, 0.557, 0.410)
O (0.136, 0.053, 0.073)
O (0.145, 0.106, 0.628)
O (0.148, 0.361, 0.790)
O (0.151, 0.415, 0.036)
O (0.175, 0.622, 0.870)
O (0.178, 0.854, 0.731)
O (0.322, 0.146, 0.231)
O (0.325, 0.378, 0.370)
O (0.349, 0.585, 0.536)
O (0.352, 0.639, 0.290)
O (0.355, 0.894, 0.128)
O (0.364, 0.947, 0.573)
O (0.377, 0.443, 0.910)
O (0.380, 0.127, 0.990)
O (0.468, 0.906, 0.869)
O (0.491, 0.644, 0.047)
O (0.492, 0.383, 0.132)
O (0.496, 0.659, 0.730)
O (0.504, 0.159, 0.770)
O (0.508, 0.883, 0.368)
O (0.509, 0.144, 0.453)
O (0.532, 0.406, 0.631)
O (0.620, 0.627, 0.510)
O (0.623, 0.943, 0.590)
O (0.636, 0.447, 0.927)
O (0.645, 0.394, 0.372)
O (0.648, 0.139, 0.210)
O (0.651, 0.085, 0.964)
O (0.675, 0.878, 0.130)
O (0.678, 0.646, 0.269)
O (0.822, 0.354, 0.769)
O (0.825, 0.122, 0.630)
O (0.849, 0.915, 0.464)
O (0.852, 0.861, 0.710)
O (0.855, 0.606, 0.872)
O (0.864, 0.553, 0.427)
O (0.877, 0.057, 0.090)
O (0.880, 0.373, 0.010)
O (0.968, 0.594, 0.131)
O (0.991, 0.856, 0.953)
O (0.992, 0.117, 0.868)
O (0.996, 0.841, 0.270)

## Properties
Formation energy from raw total energies ... -1.89 eV/atom
E above lowest polymorph ... 6.7 kJ per mole of atoms
N(E_F) ... 8.73 states/eV/f.u.

---

Record 4
The following is a DFT calculation (PBEsol) of an optimized crystal structure of CaMoN3.

Lattice parameters (Å, degrees): 4.317 3.539 10.080 90.00 101.02 90.00
Sites, in units of the cell vectors:
Ca (0.112, 0.000, 0.241)
Ca (0.888, 0.000, 0.759)
Mo (0.321, 0.500, 0.593)
Mo (0.679, 0.500, 0.407)
N (0.027, 0.500, 0.060)
N (0.181, 0.500, 0.400)
N (0.348, 0.000, 0.671)
N (0.652, 0.000, 0.329)
N (0.819, 0.500, 0.600)
N (0.973, 0.500, 0.940)

## Properties
Formation energy from raw total energies ... -0.70 eV/atom
N(E_F) ... 2.26 states/eV/f.u.

---

Record 5
The following is a DFT calculation (PBEsol) of an optimized crystal structure of BaSiSb2.

Lattice parameters (Å, degrees): 5.724 5.724 5.854 109.06 109.06 41.07
Sites, in units of the cell vectors:
Ba (0.000, 0.000, 0.000)
Si (0.768, 0.768, 0.341)
Sb (0.219, 0.219, 0.624)
Sb (0.472, 0.472, 0.479)

## Properties
Formation energy from raw total energies ... -0.34 eV/atom
N(E_F) ... 1.29 states/eV/f.u.

---

Record 6
The following is a DFT calculation (PBEsol) of an optimized crystal structure of Ag2AuBr.

Lattice parameters (Å, degrees): 8.022 8.022 8.022 24.70 24.70 24.70
Sites, in units of the cell vectors:
Ag (0.248, 0.248, 0.248)
Ag (0.752, 0.752, 0.752)
Au (0.500, 0.500, 0.500)
Br (0.000, 0.000, 0.000)

## Properties
Formation energy from raw total energies ... 0.08 eV/atom
E above lowest polymorph ... 0.0 kJ per mole of atoms
N(E_F) ... 0.78 states/eV/f.u.

---

Record 7
The following is a DFT calculation (PBEsol) of an optimized crystal structure of Ba2MnHg.

Lattice parameters (Å, degrees): 8.552 8.552 8.552 31.82 31.82 31.82
Sites, in units of the cell vectors:
Ba (0.000, 0.000, 0.000)
Ba (0.179, 0.179, 0.179)
Mn (0.423, 0.423, 0.423)
Hg (0.756, 0.756, 0.756)

## Properties
ΔE_f ... 0.10 eV/atom
E above lowest polymorph ... 0.0 kJ per mole of atoms
N(E_F) ... 4.69 states/eV/f.u.

---

Record 8
The following is a DFT calculation (PBEsol) of an optimized crystal structure of SiTe2Cl.

Lattice parameters (Å, degrees): 8.194 8.194 8.194 26.49 26.49 26.49
Sites, in units of the cell vectors:
Si (0.000, 0.000, 0.000)
Te (0.264, 0.264, 0.264)
Te (0.736, 0.736, 0.736)
Cl (0.500, 0.500, 0.500)

## Properties
Formation energy from raw total energies ... -0.03 eV/atom
E above lowest polymorph ... 0.0 kJ per mole of atoms
N(E_F) ... 3.18 states/eV/f.u.

---

Record 9
The following is a DFT calculation (PBEsol) of an optimized crystal structure of CuPO4.

Lattice parameters (Å, degrees): 4.670 8.531 7.652 90.00 117.90 90.00
Sites, in units of the cell vectors:
Cu (0.000, 0.000, 0.000)
Cu (0.000, 0.500, 0.500)
Cu (0.500, 0.000, 0.500)
Cu (0.500, 0.500, 0.000)
P (0.140, 0.177, 0.687)
P (0.140, 0.323, 0.187)
P (0.860, 0.677, 0.813)
P (0.860, 0.823, 0.313)
O (0.134, 0.141, 0.209)
O (0.134, 0.359, 0.709)
O (0.175, 0.626, 0.993)
O (0.175, 0.874, 0.493)
O (0.212, 0.108, 0.890)
O (0.212, 0.392, 0.390)
O (0.445, 0.142, 0.662)
O (0.445, 0.358, 0.162)
O (0.555, 0.642, 0.838)
O (0.555, 0.858, 0.338)
O (0.788, 0.608, 0.610)
O (0.788, 0.892, 0.110)
O (0.825, 0.126, 0.507)
O (0.825, 0.374, 0.007)
O (0.866, 0.641, 0.291)
O (0.866, 0.859, 0.791)

## Properties
Formation energy from raw total energies ... -1.42 eV/atom

---

Record 10
The following is a DFT calculation (PBEsol) of an optimized crystal structure of ReCl.

Lattice parameters (Å, degrees): 2.960 2.960 8.757 90.00 90.00 120.00
Sites, in units of the cell vectors:
Re (0.333, 0.667, 0.113)
Re (0.667, 0.333, 0.887)
Cl (0.333, 0.667, 0.677)
Cl (0.667, 0.333, 0.323)

## Properties
Formation energy from raw total energies ... -0.01 eV/atom
E above lowest polymorph ... 0.0 kJ per mole of atoms
N(E_F) ... 0.93 states/eV/f.u.

---

Record 11
The following is a DFT calculation (PBEsol) of an optimized crystal structure of Al2RuAu.

Lattice parameters (Å, degrees): 4.099 4.099 3.377 90.00 90.00 90.00
Sites, in units of the cell vectors:
Al (0.000, 0.500, 0.000)
Al (0.500, 0.000, 0.000)
Ru (0.000, 0.000, 0.500)
Au (0.500, 0.500, 0.500)

## Properties
ΔE_f ... -0.51 eV/atom
N(E_F) ... 1.50 states/eV/f.u.